Entry 1:
The following is a PBE calculation of crystalline Fe2MoRh5 at its relaxed geometry, from the Alexandria database.

abc: 7.923 7.923 7.923
angles: 151.77 151.77 40.36
Fractional coordinates of all 8 atoms:
Fe  0.249  0.249  0.000
Fe  0.751  0.751  0.000
Mo  0.500  0.500  0.000
Rh  0.000  0.000  0.000
Rh  0.128  0.628  0.500
Rh  0.372  0.872  0.500
Rh  0.628  0.128  0.500
Rh  0.872  0.372  0.500

Properties
Its formation energy is -0.12 eV/atom. The total energy is -8.19 eV/atom. The value obtained for the total magnetization is 6.2 μB/f.u. For the density of states at the Fermi level, the calculation gives 0.722 states/eV per atom. Its density is 10.8 Mg/m³.


Entry 2:
The following is a PBE calculation of crystalline La2ZnHg at its relaxed geometry, from the Alexandria database.

abc: 6.171 6.171 6.171
angles: 136.38 136.38 63.39
Fractional coordinates of all 4 atoms:
La  0.000  0.000  0.000
La  0.750  0.250  0.500
Zn  0.250  0.750  0.500
Hg  0.500  0.500  0.000

Properties
Its formation energy is -0.28 eV/atom. The total energy is -3.14 eV/atom. The value obtained for the total magnetization is 0.0 μB/f.u. For the density of states at the Fermi level, the calculation gives 0.777 states/eV per atom. Its density is 8.2 Mg/m³.


Entry 3:
The following is a PBE calculation of crystalline KGa2Bi at its relaxed geometry, from the Alexandria database.

abc: 7.069 7.069 7.069
angles: 103.30 103.30 122.67
Fractional coordinates of all 8 atoms:
K  0.000  0.000  0.000
K  0.750  0.250  0.500
Ga  0.176  0.125  0.551
Ga  0.375  0.824  0.949
Ga  0.574  0.625  0.449
Ga  0.875  0.426  0.051
Bi  0.250  0.750  0.500
Bi  0.500  0.500  0.000

Properties
Its formation energy is 0.05 eV/atom. The total energy is -2.71 eV/atom. The value obtained for the total magnetization is 0.0 μB/f.u. For the density of states at the Fermi level, the calculation gives 0.218 states/eV per atom. Its density is 4.9 Mg/m³.


Entry 4:
The following is a PBE calculation of crystalline Cs2KIn2 at its relaxed geometry, from the Alexandria database.

abc: 7.717 7.717 7.590
angles: 96.66 96.66 39.93
Fractional coordinates of all 5 atoms:
Cs  0.143  0.143  0.064
Cs  0.857  0.857  0.936
K  0.500  0.500  0.500
In  0.240  0.240  0.580
In  0.760  0.760  0.420

Properties
Its formation energy is -0.01 eV/atom. The total energy is -1.67 eV/atom. The value obtained for the total magnetization is 0.0 μB/f.u. For the density of states at the Fermi level, the calculation gives 0.764 states/eV per atom. Its density is 3.1 Mg/m³.